Entry from Alexandria: a relaxed structure of Sc2Tl2C (PBE-GGA).

Unit cell a=3.403 b=3.403 c=10.684 alpha=102.80 beta=102.80 gamma=60.96
Sites, in units of the cell vectors:
Sc: 0.112 0.112 0.385
Sc: 0.888 0.888 0.615
Tl: 0.345 0.345 0.864
Tl: 0.655 0.655 0.136
C: 0.500 0.500 0.500

**DFT total energy**: -28.47 eV/cell
**D(E_F)**: 0.566 states/eV per atom
**Mass density**: 8111 kg/m3
**ΔH_f (0 K)**: -0.3702 eV/atom

***

Entry from Alexandria: a relaxed structure of Sc3TlC (PBE-GGA).

Unit cell a=5.276 b=5.276 c=5.276 alpha=90.00 beta=90.00 gamma=90.00
Sites, in units of the cell vectors:
Sc: 0.000 0.000 0.500
Sc: 0.000 0.500 0.000
Sc: 0.500 0.000 0.000
Tl: 0.000 0.000 0.000
C: 0.500 0.500 0.500

**Energy relative to the lowest polymorph listed for this composition**: 11.35 eV per formula unit
**DFT total energy**: -22.34 eV/cell
**D(E_F)**: 0.247 states/eV per atom
**Mass density**: 3971 kg/m3
**ΔH_f (0 K)**: 1.6490 eV/atom

***

Entry from Alexandria: a relaxed structure of ScTl2C (PBE-GGA).

Unit cell a=6.849 b=6.849 c=6.849 alpha=95.97 beta=95.97 gamma=142.38
Sites, in units of the cell vectors:
Sc: 0.000 0.000 0.000
Sc: 0.750 0.250 0.500
Tl: 0.247 0.125 0.622
Tl: 0.375 0.753 0.878
Tl: 0.503 0.625 0.378
Tl: 0.875 0.497 0.122
C: 0.250 0.750 0.500
C: 0.500 0.500 0.000

**Energy relative to the lowest polymorph listed for this composition**: 0.00 eV per formula unit
**DFT total energy**: -35.67 eV/cell
**D(E_F)**: 0.620 states/eV per atom
**Mass density**: 8333 kg/m3
**ΔH_f (0 K)**: 0.6135 eV/atom

***

Entry from Alexandria: a relaxed structure of ScTlV2C (PBE-GGA).

Unit cell a=4.103 b=4.103 c=4.510 alpha=90.00 beta=90.00 gamma=90.00
Sites, in units of the cell vectors:
Sc: 0.000 0.000 0.000
Tl: 0.500 0.500 0.000
V: 0.000 0.500 0.500
V: 0.500 0.000 0.500
C: 0.000 0.000 0.500

**DFT total energy**: -36.96 eV/cell
**D(E_F)**: 0.945 states/eV per atom
**Mass density**: 7944 kg/m3
**ΔH_f (0 K)**: -0.1592 eV/atom

***

Entry from Alexandria: a relaxed structure of ScTl2WC (PBE-GGA).

Unit cell a=4.966 b=4.966 c=4.108 alpha=90.00 beta=90.00 gamma=90.00
Sites, in units of the cell vectors:
Sc: 0.000 0.000 0.000
Tl: 0.000 0.500 0.500
Tl: 0.500 0.000 0.500
W: 0.500 0.500 0.000
C: 0.500 0.500 0.500

**DFT total energy**: -28.53 eV/cell
**D(E_F)**: 1.338 states/eV per atom
**Mass density**: 10647 kg/m3
**ΔH_f (0 K)**: 0.9429 eV/atom

***

Entry from Alexandria: a relaxed structure of YSc2TlC (PBE-GGA).

Unit cell a=4.601 b=4.601 c=4.878 alpha=90.00 beta=90.00 gamma=90.00
Sites, in units of the cell vectors:
Y: 0.000 0.000 0.000
Sc: 0.000 0.500 0.500
Sc: 0.500 0.000 0.500
Tl: 0.500 0.500 0.000
C: 0.000 0.000 0.500

**DFT total energy**: -33.49 eV/cell
**D(E_F)**: 0.201 states/eV per atom
**Mass density**: 6354 kg/m3
**ΔH_f (0 K)**: -0.5553 eV/atom

***

Entry from Alexandria: a relaxed structure of Y2ScTlC (PBE-GGA).

Unit cell a=4.929 b=4.929 c=4.593 alpha=90.00 beta=90.00 gamma=90.00
Sites, in units of the cell vectors:
Y: 0.000 0.500 0.000
Y: 0.500 0.000 0.000
Sc: 0.000 0.000 0.500
Tl: 0.500 0.500 0.500
C: 0.000 0.000 0.000

**DFT total energy**: -33.46 eV/cell
**D(E_F)**: 0.197 states/eV per atom
**Mass density**: 6535 kg/m3
**ΔH_f (0 K)**: -0.5217 eV/atom

***

Entry from Alexandria: a relaxed structure of ZrScTlC (PBE-GGA).

Unit cell a=7.895 b=7.895 c=7.895 alpha=24.73 beta=24.73 gamma=24.73
Sites, in units of the cell vectors:
Zr: 0.000 0.000 0.000
Sc: 0.226 0.226 0.226
Tl: 0.447 0.447 0.447
C: 0.615 0.615 0.615

**DFT total energy**: -28.62 eV/cell
**D(E_F)**: 0.920 states/eV per atom
**Mass density**: 7728 kg/m3
**ΔH_f (0 K)**: -0.5365 eV/atom

***

Entry from Alexandria: a relaxed structure of TmScC (PBE-GGA).

Unit cell a=5.954 b=3.439 c=6.167 alpha=90.00 beta=109.74 gamma=90.00
Sites, in units of the cell vectors:
Tm: 0.004 0.250 0.271
Tm: 0.996 0.750 0.729
Sc: 0.491 0.250 0.710
Sc: 0.509 0.750 0.290
C: 0.259 0.750 0.503
C: 0.741 0.250 0.497

**Energy relative to the lowest polymorph listed for this composition**: 0.00 eV per formula unit
**DFT total energy**: -42.38 eV/cell
**D(E_F)**: 0.634 states/eV per atom
**Mass density**: 6312 kg/m3
**ΔH_f (0 K)**: -0.3877 eV/atom

***

Entry from Alexandria: a relaxed structure of Tm2ScC2 (PBE-GGA).

Unit cell a=6.113 b=6.113 c=7.011 alpha=109.73 beta=109.73 gamma=48.04
Sites, in units of the cell vectors:
Tm: 0.011 0.011 0.237
Tm: 0.335 0.335 0.925
Tm: 0.665 0.665 0.075
Tm: 0.989 0.989 0.763
Sc: 0.351 0.351 0.399
Sc: 0.649 0.649 0.601
C: 0.173 0.173 0.099
C: 0.494 0.494 0.731
C: 0.506 0.506 0.269
C: 0.827 0.827 0.901

**DFT total energy**: -70.81 eV/cell
**D(E_F)**: 0.282 states/eV per atom
**Mass density**: 7465 kg/m3
**ΔH_f (0 K)**: -0.3369 eV/atom

***

Entry from Alexandria: a relaxed structure of TmSc2C (PBE-GGA).

Unit cell a=9.221 b=9.221 c=9.221 alpha=20.78 beta=20.78 gamma=20.78
Sites, in units of the cell vectors:
Tm: 0.000 0.000 0.000
Sc: 0.122 0.122 0.122
Sc: 0.878 0.878 0.878
C: 0.500 0.500 0.500

**DFT total energy**: -27.16 eV/cell
**D(E_F)**: 1.110 states/eV per atom
**Mass density**: 5207 kg/m3
**ΔH_f (0 K)**: -0.1993 eV/atom

***

Entry from Alexandria: a relaxed structure of TmScC (PBE-GGA).

Unit cell a=3.427 b=3.427 c=5.884 alpha=90.00 beta=90.00 gamma=120.00
Sites, in units of the cell vectors:
Tm: 0.000 0.000 0.000
Sc: 0.333 0.667 0.434
C: 0.667 0.333 0.235

**Energy relative to the lowest polymorph listed for this composition**: 0.10 eV per formula unit
**DFT total energy**: -21.09 eV/cell
**D(E_F)**: 0.790 states/eV per atom
**Mass density**: 6270 kg/m3
**ΔH_f (0 K)**: -0.3530 eV/atom

***

Entry from Alexandria: a relaxed structure of TmScC (PBE-GGA).

Unit cell a=6.270 b=6.270 c=6.474 alpha=115.14 beta=115.14 gamma=30.17
Sites, in units of the cell vectors:
Tm: 0.011 0.011 0.232
Tm: 0.989 0.989 0.768
Sc: 0.266 0.266 0.213
Sc: 0.734 0.734 0.787
C: 0.368 0.368 0.981
C: 0.632 0.632 0.019

**Energy relative to the lowest polymorph listed for this composition**: 0.61 eV per formula unit
**DFT total energy**: -41.15 eV/cell
**D(E_F)**: 0.544 states/eV per atom
**Mass density**: 6531 kg/m3
**ΔH_f (0 K)**: -0.1831 eV/atom

***

Entry from Alexandria: a relaxed structure of TmSc3C (PBE-GGA).

Unit cell a=4.701 b=4.701 c=4.701 alpha=90.00 beta=90.00 gamma=90.00
Sites, in units of the cell vectors:
Tm: 0.000 0.000 0.000
Sc: 0.000 0.500 0.500
Sc: 0.500 0.000 0.500
Sc: 0.500 0.500 0.000
C: 0.500 0.500 0.500

**DFT total energy**: -33.20 eV/cell
**D(E_F)**: 1.275 states/eV per atom
**Mass density**: 5048 kg/m3
**ΔH_f (0 K)**: -0.1022 eV/atom

***

Entry from Alexandria: a relaxed structure of TmSc2UC4 (PBE-GGA).

Unit cell a=5.889 b=3.450 c=5.939 alpha=90.00 beta=109.90 gamma=90.00
Sites, in units of the cell vectors:
Tm: 0.000 0.000 0.000
Sc: 0.500 0.000 0.500
Sc: 0.500 0.500 0.000
U: 0.000 0.500 0.500
C: 0.243 0.000 0.735
C: 0.246 0.500 0.268
C: 0.754 0.500 0.732
C: 0.757 0.000 0.265

**DFT total energy**: -67.79 eV/cell
**D(E_F)**: 1.118 states/eV per atom
**Mass density**: 7975 kg/m3
**ΔH_f (0 K)**: -0.3094 eV/atom

***

Entry from Alexandria: a relaxed structure of TmSc2ZnC (PBE-GGA).

Unit cell a=4.492 b=4.492 c=4.848 alpha=90.00 beta=90.00 gamma=90.00
Sites, in units of the cell vectors:
Tm: 0.000 0.000 0.000
Sc: 0.000 0.500 0.500
Sc: 0.500 0.000 0.500
Zn: 0.500 0.500 0.000
C: 0.000 0.000 0.500

**DFT total energy**: -29.55 eV/cell
**D(E_F)**: 1.122 states/eV per atom
**Mass density**: 5706 kg/m3
**ΔH_f (0 K)**: -0.3829 eV/atom

***

Entry from Alexandria: a relaxed structure of ScU3C4 (PBE-GGA).

Unit cell a=5.959 b=6.951 c=5.973 alpha=90.00 beta=109.39 gamma=90.00
Sites, in units of the cell vectors:
Sc: 0.000 0.124 0.250
Sc: 0.000 0.876 0.750
U: 0.000 0.373 0.750
U: 0.000 0.627 0.250
U: 0.500 0.122 0.750
U: 0.500 0.373 0.250
U: 0.500 0.627 0.750
U: 0.500 0.878 0.250
C: 0.247 0.369 0.500
C: 0.247 0.631 0.000
C: 0.254 0.127 0.999
C: 0.254 0.873 0.499
C: 0.746 0.127 0.501
C: 0.746 0.873 0.001
C: 0.753 0.369 0.000
C: 0.753 0.631 0.500

**DFT total energy**: -157.75 eV/cell
**D(E_F)**: 1.154 states/eV per atom
**Mass density**: 11486 kg/m3
**ΔH_f (0 K)**: -0.2227 eV/atom

***

Entry from Alexandria: a relaxed structure of Sc3UC2 (PBE-GGA).

Unit cell a=7.861 b=7.861 c=10.964 alpha=130.23 beta=130.23 gamma=24.09
Sites, in units of the cell vectors:
Sc: 0.051 0.051 0.190
Sc: 0.204 0.204 0.568
Sc: 0.306 0.306 0.946
Sc: 0.694 0.694 0.054
Sc: 0.796 0.796 0.432
Sc: 0.949 0.949 0.810
U: 0.456 0.456 0.349
U: 0.544 0.544 0.651
C: 0.122 0.122 0.858
C: 0.378 0.378 0.625
C: 0.622 0.622 0.375
C: 0.878 0.878 0.142

**DFT total energy**: -101.37 eV/cell
**D(E_F)**: 1.387 states/eV per atom
**Mass density**: 6348 kg/m3
**ΔH_f (0 K)**: -0.3259 eV/atom

***

Entry from Alexandria: a relaxed structure of ScU5C6 (PBE-GGA).

Unit cell a=6.001 b=6.001 c=5.992 alpha=99.56 beta=99.56 gamma=120.10
Sites, in units of the cell vectors:
Sc: 0.000 0.000 0.000
U: 0.165 0.835 0.500
U: 0.333 0.667 0.000
U: 0.500 0.500 0.500
U: 0.667 0.333 0.000
U: 0.835 0.165 0.500
C: 0.082 0.414 0.248
C: 0.249 0.249 0.751
C: 0.414 0.082 0.248
C: 0.586 0.918 0.752
C: 0.751 0.751 0.249
C: 0.918 0.586 0.752

**DFT total energy**: -120.37 eV/cell
**D(E_F)**: 1.299 states/eV per atom
**Mass density**: 12331 kg/m3
**ΔH_f (0 K)**: -0.1881 eV/atom

***

Entry from Alexandria: a relaxed structure of Sc5UC5 (PBE-GGA).

Unit cell a=5.877 b=5.877 c=6.730 alpha=106.92 beta=106.92 gamma=47.17
Sites, in units of the cell vectors:
Sc: 0.000 0.000 0.000
Sc: 0.316 0.316 0.167
Sc: 0.325 0.325 0.654
Sc: 0.675 0.675 0.346
Sc: 0.684 0.684 0.833
U: 0.000 0.000 0.500
C: 0.158 0.158 0.330
C: 0.162 0.162 0.828
C: 0.500 0.500 0.500
C: 0.838 0.838 0.172
C: 0.842 0.842 0.670

**DFT total energy**: -94.10 eV/cell
**D(E_F)**: 0.222 states/eV per atom
**Mass density**: 5371 kg/m3
**ΔH_f (0 K)**: -0.4580 eV/atom